1.
DFT (PBE) results for crystalline Pu2CoN at its relaxed geometry.

Cell and atoms, written as POSCAR:
```
Pu2CoN
1.0
3.515 0.000 0.000
1.758 3.044 0.000
1.758 1.015 6.459
N Co Pu
1 1 2
Cartesian
3.515 2.030 3.230
0.000 0.000 0.000
1.758 1.015 1.822
5.273 3.044 4.638
```

Values from the calculation:
N(E_F) (states/eV/cell): 12.55
Uncorrected formation energy (meV per atom): -441

2.
DFT (PBE) results for crystalline NdBiPb2O6 at its relaxed geometry.

Cell and atoms, written as POSCAR:
```
NdBiPb2O6
1.0
6.007 0.000 0.001
0.000 6.248 0.000
0.054 0.000 8.696
Nd Bi Pb O
2 2 4 12
Cartesian
3.003 0.000 0.000
0.027 3.124 4.348
3.030 0.000 4.348
0.000 3.124 0.000
0.048 6.016 2.194
3.079 3.355 6.543
6.012 0.232 6.503
2.982 2.892 2.154
1.781 4.272 0.403
4.811 5.100 4.751
4.280 1.976 8.294
1.250 1.148 3.946
1.960 4.434 3.906
4.990 4.937 8.255
4.101 1.814 4.791
1.070 1.310 0.442
5.402 3.330 2.068
2.425 6.041 6.416
0.659 2.917 6.629
3.636 0.206 2.281
```

Values from the calculation:
Uncorrected formation energy (meV per atom): -1578

3.
DFT (PBE) results for crystalline Ti4GeSe at its relaxed geometry.

Cell and atoms, written as POSCAR:
```
Ti4GeSe
1.0
-4.184 2.709 -0.137
-3.476 -5.409 -0.733
2.431 -0.488 6.830
Ti Ge Se
8 2 2
Cartesian
-0.466 0.713 5.775
-4.064 -0.522 0.517
-4.762 -3.901 0.185
-1.165 -2.666 5.444
-5.451 -2.433 3.887
-2.613 -2.749 1.670
0.223 -0.755 2.073
-2.616 -0.439 4.291
-6.246 -1.702 -0.669
1.017 -1.487 6.629
-0.877 1.111 3.346
-0.522 -2.949 3.049
```

Values from the calculation:
N(E_F) (states/eV/cell): 10.44
Uncorrected formation energy (meV per atom): -374

4.
DFT (PBE) results for crystalline Ni2Bi2Pd at its relaxed geometry.

Cell and atoms, written as POSCAR:
```
Ni2Bi2Pd
1.0
7.094 0.000 0.000
0.000 7.094 0.000
0.000 0.000 3.617
Ni Bi Pd
4 4 2
Cartesian
2.658 6.205 0.000
6.205 4.436 0.000
4.436 0.889 0.000
0.889 2.658 0.000
1.248 4.795 1.808
4.795 5.846 1.808
5.846 2.299 1.808
2.299 1.248 1.808
0.000 0.000 0.000
3.547 3.547 0.000
```

Values from the calculation:
Energy of formation (eV/atom): 0.01
N(E_F) (states/eV/cell): 6.11
Energy relative to the lowest polymorph listed for this composition (eV per atom): 0.000

5.
DFT (PBE) results for crystalline MgCd2Ni at its relaxed geometry.

Cell and atoms, written as POSCAR:
```
MgCd2Ni
1.0
4.160 0.000 0.000
0.000 4.159 0.000
0.000 0.000 4.111
Cd Mg Ni
2 1 1
Cartesian
0.000 0.000 0.000
2.080 2.080 0.000
2.080 0.000 2.056
0.000 2.080 2.056
```

Values from the calculation:
Energy of formation (eV/atom): -0.02
N(E_F) (states/eV/cell): 1.40

6.
DFT (PBE) results for crystalline La2Tb5YTh at its relaxed geometry.

Cell and atoms, written as POSCAR:
```
La2Tb5YTh
1.0
-1.366 2.991 -4.607
-8.640 -0.729 5.565
2.604 9.291 5.260
La Tb Y Th
4 10 2 2
Cartesian
-5.703 9.678 4.498
-0.244 6.989 4.610
-1.347 3.128 2.430
-7.247 4.251 1.432
-7.244 0.790 2.661
-2.643 9.358 3.383
-7.049 7.596 7.022
-3.734 7.040 5.678
-8.347 7.132 3.629
-1.353 6.498 1.143
-4.446 3.315 3.470
-0.414 3.737 -0.927
-3.885 3.739 0.103
-0.218 0.272 0.241
-4.903 6.673 2.310
-3.758 0.387 1.366
0.270 10.553 3.294
-6.573 4.923 5.145
```

Values from the calculation:
Energy of formation (eV/atom): 0.16
N(E_F) (states/eV/cell): 27.16

7.
DFT (PBE) results for crystalline LiPtSe2 at its relaxed geometry.

Cell and atoms, written as POSCAR:
```
LiPtSe2
1.0
3.823 -0.019 0.029
1.925 3.303 0.029
1.870 1.068 6.202
Li Pt Se
1 1 2
Cartesian
5.713 3.264 4.695
1.904 1.088 1.565
5.747 3.283 0.254
3.809 2.176 2.934
```

Values from the calculation:
N(E_F) (states/eV/cell): 2.72
Uncorrected formation energy (meV per atom): -520

8.
DFT (PBE) results for crystalline TaTiMnRu at its relaxed geometry.

Cell and atoms, written as POSCAR:
```
TaTiMnRu
1.0
3.075 0.000 0.000
0.000 3.075 0.000
0.000 0.000 6.157
Ta Ti Mn Ru
1 1 1 1
Cartesian
1.538 1.538 3.669
1.538 1.538 0.710
0.000 0.000 2.186
0.000 0.000 5.307
```

Values from the calculation:
Energy of formation (eV/atom): -0.47
N(E_F) (states/eV/cell): 1.04

9.
DFT (PBE) results for crystalline Er2CrTc3 at its relaxed geometry.

Cell and atoms, written as POSCAR:
```
Er2CrTc3
1.0
-4.297 -0.955 -3.080
4.938 -0.564 -2.038
1.246 -3.282 3.955
Er Cr Tc
2 1 3
Cartesian
-1.214 -1.335 -2.581
3.101 -3.466 1.417
0.000 0.000 0.000
0.944 -2.400 -0.582
0.623 -1.641 1.977
-1.526 -2.119 0.438
```

Values from the calculation:
Energy of formation (eV/atom): -0.11
N(E_F) (states/eV/cell): 5.01

10.
DFT (PBE) results for crystalline Hf3ReS at its relaxed geometry.

Cell and atoms, written as POSCAR:
```
Hf3ReS
1.0
4.667 0.000 0.000
0.000 4.667 0.000
0.000 0.000 4.667
Re S Hf
1 1 3
Cartesian
2.333 2.333 2.333
0.000 0.000 0.000
0.000 2.333 0.000
0.000 0.000 2.333
2.333 0.000 0.000
```

Values from the calculation:
N(E_F) (states/eV/cell): 2.48
Uncorrected formation energy (meV per atom): 18
Energy relative to the lowest polymorph listed for this composition (eV per atom): 0.000

11.
DFT (PBE) results for crystalline Nb8Ga2Ge3 at its relaxed geometry.

Cell and atoms, written as POSCAR:
```
Nb8Ga2Ge3
1.0
4.692 0.000 0.751
0.000 7.817 0.000
-1.023 -3.908 6.389
Nb Ga Ge
8 2 3
Cartesian
-0.357 3.908 2.230
4.025 0.000 4.911
-0.211 0.000 1.321
3.880 3.908 5.820
1.547 1.541 5.363
1.547 -1.541 5.363
2.122 5.450 1.777
2.122 2.367 1.777
1.905 0.000 3.132
1.764 3.908 4.009
2.346 0.000 0.376
0.000 2.418 0.000
0.000 5.398 0.000
```

Values from the calculation:
Energy of formation (eV/atom): 0.06
N(E_F) (states/eV/cell): 10.15

12.
DFT (PBE) results for crystalline Sr2CdBRu at its relaxed geometry.

Cell and atoms, written as POSCAR:
```
Sr2CdBRu
1.0
-5.206 1.635 -0.904
-1.436 -4.933 -0.650
-1.066 -0.403 5.412
Ru B Sr Cd
1 1 2 1
Cartesian
0.000 0.000 0.000
-3.854 -1.850 1.929
-0.533 -0.202 2.706
-2.603 0.818 -0.452
-0.718 -2.466 -0.325
```

Values from the calculation:
Energy of formation (eV/atom): 1.08
N(E_F) (states/eV/cell): 6.01

13.
DFT (PBE) results for crystalline Pt3IN at its relaxed geometry.

Cell and atoms, written as POSCAR:
```
Pt3IN
1.0
-3.569 -2.298 0.972
-0.770 -0.600 -4.244
2.373 -3.650 0.085
I Pt N
1 3 1
Cartesian
-0.983 -3.274 -1.593
-0.385 -0.300 -2.122
1.187 -1.825 0.043
-1.785 -1.149 0.486
0.000 0.000 0.000
```

Values from the calculation:
N(E_F) (states/eV/cell): 3.92
Uncorrected formation energy (meV per atom): 903
Energy relative to the lowest polymorph listed for this composition (eV per atom): 0.000

14.
DFT (PBE) results for crystalline PbBrCl3 at its relaxed geometry.

Cell and atoms, written as POSCAR:
```
PbBrCl3
1.0
-3.648 -3.133 -2.374
3.203 -4.247 0.683
-2.279 -0.953 4.760
Pb Br Cl
1 1 3
Cartesian
-1.362 -4.167 1.535
0.000 0.000 0.000
1.602 -2.123 0.342
-1.140 -0.477 2.380
-1.824 -1.567 -1.187
```

Values from the calculation:
N(E_F) (states/eV/cell): 2.39
Uncorrected formation energy (meV per atom): 48
Energy relative to the lowest polymorph listed for this composition (eV per atom): 0.635

15.
DFT (PBE) results for crystalline AlRhI2N at its relaxed geometry.

Cell and atoms, written as POSCAR:
```
AlRhI2N
1.0
5.747 0.000 0.000
0.000 5.747 0.000
0.000 0.000 3.725
I Rh Al N
2 1 1 1
Cartesian
0.000 2.874 0.000
2.874 0.000 0.000
0.000 0.000 0.000
2.874 2.874 1.862
0.000 0.000 1.862
```

Values from the calculation:
N(E_F) (states/eV/cell): 1.71
Uncorrected formation energy (meV per atom): 392
Energy relative to the lowest polymorph listed for this composition (eV per atom): 0.000

16.
DFT (PBE) results for crystalline LiZrC3 at its relaxed geometry.

Cell and atoms, written as POSCAR:
```
LiZrC3
1.0
-0.102 0.661 3.587
-3.583 -0.688 0.025
0.681 -3.522 0.668
C Zr Li
3 1 1
Cartesian
-1.792 -0.344 0.012
0.341 -1.761 0.334
-0.051 0.330 1.793
-1.502 -1.775 2.140
0.000 0.000 0.000
```

Values from the calculation:
Energy of formation (eV/atom): 1.68
N(E_F) (states/eV/cell): 1.93
Energy relative to the lowest polymorph listed for this composition (eV per atom): 0.000

17.
DFT (PBE) results for crystalline CsKHf2V at its relaxed geometry.

Cell and atoms, written as POSCAR:
```
CsKHf2V
1.0
4.973 0.000 0.000
0.000 6.870 0.000
0.000 0.000 4.973
Cs K Hf V
1 1 2 1
Cartesian
2.486 3.435 2.486
0.000 3.435 0.000
0.000 0.000 2.486
2.486 0.000 0.000
0.000 0.000 0.000
```

Values from the calculation:
Energy of formation (eV/atom): 1.09
N(E_F) (states/eV/cell): 7.30

18.
DFT (PBE) results for crystalline PmPaBr2F6 at its relaxed geometry.

Cell and atoms, written as POSCAR:
```
PmPaBr2F6
1.0
-2.973 -5.509 1.320
4.586 -1.467 4.205
-1.528 -1.423 6.039
Pm Pa Br F
1 1 2 6
Cartesian
0.807 -3.488 2.763
0.000 0.000 0.000
1.933 -3.189 6.504
-1.847 -5.210 5.061
1.252 -3.856 9.555
1.227 -5.308 4.205
-0.412 -2.411 4.473
-1.166 -4.543 2.010
-1.142 -3.091 7.360
0.497 -5.989 7.092
```

Values from the calculation:
Uncorrected formation energy (meV per atom): -3156

19.
DFT (PBE) results for crystalline BAsC2 at its relaxed geometry.

Cell and atoms, written as POSCAR:
```
BAsC2
1.0
2.967 0.000 0.000
0.000 3.469 0.000
0.000 0.000 9.094
As B C
2 2 4
Cartesian
1.483 0.000 2.898
1.483 1.735 7.445
1.483 0.000 6.199
1.483 1.735 1.652
0.000 0.000 4.087
0.000 1.735 8.634
0.000 0.000 5.444
0.000 1.735 0.897
```

Values from the calculation:
Energy of formation (eV/atom): 0.46
N(E_F) (states/eV/cell): 0.27
Energy relative to the lowest polymorph listed for this composition (eV per atom): 0.066

20.
DFT (PBE) results for crystalline KBiPd4 at its relaxed geometry.

Cell and atoms, written as POSCAR:
```
KBiPd4
1.0
4.219 0.000 0.000
0.000 8.383 0.000
0.000 0.000 8.165
K Bi Pd
2 2 8
Cartesian
0.000 5.373 6.124
0.000 3.010 2.041
0.000 1.828 6.124
0.000 6.555 2.041
0.000 0.000 4.083
0.000 0.000 0.000
2.109 8.037 6.124
2.109 0.346 2.041
2.109 6.543 0.277
2.109 1.840 7.888
2.109 6.543 3.806
2.109 1.840 4.360
```

Values from the calculation:
Energy of formation (eV/atom): -0.05
N(E_F) (states/eV/cell): 6.43
Energy relative to the lowest polymorph listed for this composition (eV per atom): 0.023

21.
DFT (PBE) results for crystalline Hf3CdMo2 at its relaxed geometry.

Cell and atoms, written as POSCAR:
```
Hf3CdMo2
1.0
3.383 0.000 0.000
0.000 3.383 0.000
0.000 0.000 10.283
Hf Cd Mo
3 1 2
Cartesian
0.000 0.000 0.000
0.000 0.000 7.134
0.000 0.000 3.149
1.692 1.692 5.141
1.692 1.692 8.594
1.692 1.692 1.689
```

Values from the calculation:
Energy of formation (eV/atom): -0.08
N(E_F) (states/eV/cell): 6.49

22.
DFT (PBE) results for crystalline NaGa4Te7 at its relaxed geometry.

Cell and atoms, written as POSCAR:
```
NaGa4Te7
1.0
6.979 0.000 0.000
0.000 7.513 0.000
0.000 0.000 15.500
Na Ga Te
2 8 14
Cartesian
3.596 0.256 7.750
0.107 7.257 0.000
4.183 5.071 13.542
0.584 6.174 3.996
4.073 1.339 3.754
0.693 2.442 9.707
0.693 2.442 5.792
4.183 5.071 1.958
0.584 6.174 11.504
4.073 1.339 11.745
6.807 4.726 1.924
3.318 2.787 5.826
3.072 2.659 13.813
6.562 4.854 9.437
6.562 4.854 6.063
3.072 2.659 1.687
3.296 6.316 11.285
6.785 1.197 11.964
6.785 1.197 3.536
3.296 6.316 4.214
3.475 6.696 0.000
6.964 0.817 7.750
6.807 4.726 13.576
3.318 2.787 9.674
```

Values from the calculation:
N(E_F) (states/eV/cell): 5.87
Uncorrected formation energy (meV per atom): -343

23.
DFT (PBE) results for crystalline CaLuPt at its relaxed geometry.

Cell and atoms, written as POSCAR:
```
CaLuPt
1.0
-4.733 -0.877 0.388
-1.708 -4.442 -0.821
-1.670 -2.661 3.668
Ca Lu Pt
1 1 1
Cartesian
0.000 0.000 0.000
-4.056 -3.991 1.617
-2.028 -1.995 0.808
```

Values from the calculation:
Energy of formation (eV/atom): -0.79
N(E_F) (states/eV/cell): 2.06
Energy relative to the lowest polymorph listed for this composition (eV per atom): 0.000

24.
DFT (PBE) results for crystalline Pa2CuPdO8 at its relaxed geometry.

Cell and atoms, written as POSCAR:
```
Pa2CuPdO8
1.0
5.221 0.000 0.000
-2.611 4.522 0.000
0.000 0.000 6.314
Pa Cu Pd O
2 1 1 8
Cartesian
2.611 1.507 0.983
0.000 3.015 5.331
0.000 0.000 0.000
0.000 0.000 3.157
2.611 2.969 5.272
1.345 0.777 5.272
3.876 0.777 5.272
0.000 1.553 1.042
1.266 3.745 1.042
-1.266 3.745 1.042
2.611 1.507 2.834
0.000 3.015 3.479
```

Values from the calculation:
N(E_F) (states/eV/cell): 6.89
Uncorrected formation energy (meV per atom): -1657

| no. | DFT total energy (eV/atom) | V (Å³ per cell) | total magnetization (μB/cell) |
| --- | --- | --- | --- |
| 1 | -11.465 | 69.13 | 9.72 |
| 2 | -6.159 | 326.35 | 0.00 |
| 3 | -6.987 | 213.53 | 2.37 |
| 4 | -4.890 | 182.01 | 0.00 |
| 5 | -2.319 | 71.14 | 0.00 |
| 6 | -5.052 | 616.20 | 0.00 |
| 7 | -4.251 | 78.31 | 0.00 |
| 8 | -10.020 | 58.22 | 0.00 |
| 9 | -8.423 | 107.16 | 0.00 |
| 10 | -9.270 | 101.62 | 1.23 |
| 11 | -7.665 | 240.35 | 0.00 |
| 12 | -2.969 | 158.42 | 0.48 |
| 13 | -4.697 | 82.59 | 0.00 |
| 14 | -2.136 | 154.26 | 0.00 |
| 15 | -4.111 | 123.04 | 0.00 |
| 16 | -5.947 | 48.57 | 0.00 |
| 17 | -5.101 | 169.88 | 0.05 |
| 18 | -6.038 | 184.95 | 0.00 |
| 19 | -6.980 | 93.59 | 0.00 |
| 20 | -4.342 | 288.77 | 0.00 |
| 21 | -8.816 | 117.71 | 0.00 |
| 22 | -3.294 | 812.68 | 0.00 |
| 23 | -4.981 | 79.65 | 0.00 |
| 24 | -7.320 | 149.06 | 1.32 |